# 1
A relaxed Ba3ZrNb5O12 crystal. Source: Alexandria, functional PBEsol.

Computed properties:
volume = 13.71 A^3/atom
ΔE_f (raw) = -2.72 eV/atom
N(E_F) = 5.32 states/eV/cell
total moment = 0.00 μB per formula unit

Cell lengths 5.9179, 5.9179, 16.4395 Å; angles 90.00, 90.00, 90.00 degrees
Closest atoms and distances in Å follow each position.
Positions (direct):
Ba (0.0000, 0.0000, 0.5000)  12 O 2.92-2.96
Ba (0.5000, 0.5000, 0.5000)  12 O 2.92-2.96
Ba (0.0000, 0.0000, 0.7535)  12 O 2.85-2.98
Ba (0.5000, 0.5000, 0.7535)  12 O 2.85-2.98
Ba (0.0000, 0.0000, 0.2465)  12 O 2.85-2.98
Ba (0.5000, 0.5000, 0.2465)  12 O 2.85-2.98
Zr (0.0000, 0.5000, 0.6262)  6 O 2.03-2.13
Zr (0.5000, 0.0000, 0.3738)  6 O 2.03-2.13
Nb (0.5000, 0.0000, 0.8779)  5 O 2.10-2.15
Nb (0.0000, 0.5000, 0.8783)  5 O 2.10-2.12
Nb (0.5000, 0.0000, 0.1217)  5 O 2.10-2.12
Nb (0.0000, 0.5000, 0.1221)  5 O 2.10-2.15
Nb (0.2500, 0.7500, 0.0000)  4 O 2.09-2.12
Nb (0.7500, 0.2500, 0.0000)  4 O 2.09-2.12
Nb (0.2500, 0.2500, 0.0000)  4 O 2.09-2.12
Nb (0.7500, 0.7500, 0.0000)  4 O 2.09-2.12
Nb (0.5000, 0.0000, 0.6267)  6 O 1.98-2.06
Nb (0.0000, 0.5000, 0.3733)  6 O 1.98-2.06
O (0.2499, 0.7499, 0.8711)  3 Nb 2.10-2.12
O (0.7501, 0.2501, 0.8711)  3 Nb 2.10-2.12
O (0.2499, 0.2501, 0.8711)  3 Nb 2.10-2.12
O (0.7501, 0.7499, 0.8711)  3 Nb 2.10-2.12
O (0.2501, 0.7501, 0.1289)  3 Nb 2.10-2.12
O (0.7499, 0.2499, 0.1289)  3 Nb 2.10-2.12
O (0.2501, 0.2499, 0.1289)  3 Nb 2.10-2.12
O (0.7499, 0.7501, 0.1289)  3 Nb 2.10-2.12
O (0.5000, 0.0000, 0.7470)  2 Nb 1.98-2.15
O (0.0000, 0.5000, 0.7494)  1 Zr 2.03, 1 Nb 2.12
O (0.5000, 0.0000, 0.2506)  1 Zr 2.03, 1 Nb 2.12
O (0.0000, 0.5000, 0.2530)  2 Nb 1.98-2.15
O (0.5000, 0.0000, 0.5027)  1 Nb 2.04, 1 Zr 2.12
O (0.0000, 0.5000, 0.4973)  1 Nb 2.04, 1 Zr 2.12
O (0.2542, 0.7542, 0.6241)  1 Nb 2.06, 1 Zr 2.13
O (0.7458, 0.2458, 0.6241)  1 Nb 2.06, 1 Zr 2.13
O (0.2542, 0.2458, 0.6241)  1 Nb 2.06, 1 Zr 2.13
O (0.7458, 0.7542, 0.6241)  1 Nb 2.06, 1 Zr 2.13
O (0.2458, 0.7458, 0.3759)  1 Nb 2.06, 1 Zr 2.13
O (0.7542, 0.2542, 0.3759)  1 Nb 2.06, 1 Zr 2.13
O (0.2458, 0.2542, 0.3759)  1 Nb 2.06, 1 Zr 2.13
O (0.7542, 0.7458, 0.3759)  1 Nb 2.06, 1 Zr 2.13
O (0.0000, 0.0000, 0.0000)  4 Nb 2.09
O (0.5000, 0.5000, 0.0000)  4 Nb 2.09

# 2
A relaxed Ba4ZrNb9O18 crystal. Source: Alexandria, functional PBEsol.

Computed properties:
volume = 13.52 A^3/atom
ΔE_f (raw) = -2.62 eV/atom
N(E_F) = 5.59 states/eV/cell
total moment = 0.00 μB per formula unit

Cell lengths 5.9236, 5.9236, 13.0196 Å; angles 103.15, 103.15, 90.00 degrees
Closest atoms and distances in Å follow each position.
Positions (direct):
Ba (0.4153, 0.9153, 0.8307)  12 O 2.87-2.96
Ba (0.9153, 0.4153, 0.8307)  12 O 2.87-2.96
Ba (0.5847, 0.0847, 0.1693)  12 O 2.87-2.96
Ba (0.0847, 0.5847, 0.1693)  12 O 2.87-2.96
Zr (0.0000, 0.0000, 0.0000)  6 O 2.05-2.13
Nb (0.8314, 0.8314, 0.6627)  5 O 2.10-2.11
Nb (0.3316, 0.3316, 0.6632)  5 O 2.10-2.15
Nb (0.1686, 0.1686, 0.3373)  5 O 2.10-2.11
Nb (0.6684, 0.6684, 0.3368)  5 O 2.10-2.15
Nb (0.5000, 0.5000, 0.5000)  4 O 2.09-2.12
Nb (0.0000, 0.0000, 0.5000)  4 O 2.09-2.12
Nb (0.5000, 0.0000, 0.5000)  4 O 2.09-2.12
Nb (0.0000, 0.5000, 0.5000)  4 O 2.09-2.12
Nb (0.5000, 0.5000, 0.0000)  6 O 2.00-2.05
O (0.2548, 0.2548, 0.0000)  1 Nb 2.05, 1 Zr 2.13
O (0.7452, 0.7452, 0.0000)  1 Nb 2.05, 1 Zr 2.13
O (0.2548, 0.7452, 0.0000)  1 Nb 2.05, 1 Zr 2.13
O (0.7452, 0.2548, 0.0000)  1 Nb 2.05, 1 Zr 2.13
O (0.9168, 0.9168, 0.8336)  1 Zr 2.05, 1 Nb 2.11
O (0.4188, 0.4188, 0.8375)  2 Nb 2.00-2.15
O (0.0832, 0.0832, 0.1664)  1 Zr 2.05, 1 Nb 2.11
O (0.5812, 0.5812, 0.1625)  2 Nb 2.00-2.15
O (0.7500, 0.2500, 0.5000)  4 Nb 2.09
O (0.2500, 0.7500, 0.5000)  4 Nb 2.09
O (0.0860, 0.0860, 0.6719)  3 Nb 2.10-2.12
O (0.5859, 0.5859, 0.6719)  3 Nb 2.10-2.12
O (0.0860, 0.5859, 0.6719)  3 Nb 2.10-2.12
O (0.5859, 0.0860, 0.6719)  3 Nb 2.10-2.12
O (0.4141, 0.4141, 0.3281)  3 Nb 2.10-2.12
O (0.9140, 0.9140, 0.3281)  3 Nb 2.10-2.12
O (0.4141, 0.9140, 0.3281)  3 Nb 2.10-2.12
O (0.9140, 0.4141, 0.3281)  3 Nb 2.10-2.12

# 3
A relaxed BaNbP2 crystal. Source: Alexandria, functional PBEsol.

Computed properties:
volume = 20.54 A^3/atom
total energy = -6.18 eV/atom
N(E_F) = 2.81 states/eV/cell
total moment = 1.52 μB per formula unit

Cell lengths 4.8795, 4.8795, 4.8795 Å; angles 60.00, 60.00, 60.00 degrees
Closest atoms and distances in Å follow each position.
Positions (direct):
P (0.2500, 0.2500, 0.2500)  4 Ba 2.99, 4 Nb 2.99
P (0.7500, 0.7500, 0.7500)  4 Ba 2.99, 4 Nb 2.99
Nb (0.0000, 0.0000, 0.0000)  8 P 2.99
Ba (0.5000, 0.5000, 0.5000)  8 P 2.99

# 4
A relaxed Ba2NbPRu crystal. Source: Alexandria, functional PBEsol.

Computed properties:
volume = 31.25 A^3/atom
total energy = -5.51 eV/atom
N(E_F) = 4.42 states/eV/cell
total moment = 4.31 μB per formula unit

Cell lengths 4.4094, 5.9528, 5.9528 Å; angles 90.00, 90.00, 90.00 degrees
Closest atoms and distances in Å follow each position.
Positions (direct):
Ru (0.0000, 0.0000, 0.0000)  2 P 2.20
Nb (0.5000, 0.5000, 0.5000)  8 Ba 3.70
Ba (0.0000, 0.0000, 0.5000)  2 Ru 2.98
Ba (0.0000, 0.5000, 0.0000)  2 Ru 2.98
P (0.5000, 0.0000, 0.0000)  2 Ru 2.20

volume of number 4 (Ba2NbPRu)?
31.25 A^3/atom

Which value of N(E_F) does entry 3 give?
2.81 states/eV/cell